# 1
First-principles (GGA-PBEsol) data for a relaxed structure of Sm2SnS5, as listed in Alexandria via LeMat-Bulk.

a = 3.838 Å, b = 7.687 Å, c = 11.290 Å
α = 90.00°, β = 90.00°, γ = 90.00°
Atoms (fractional coordinates):
S1 0.500 0.824 0.909
S2 0.000 0.671 0.697
S3 0.000 0.000 0.500
S4 0.000 0.500 0.000
S5 0.000 0.171 0.803
S6 0.000 0.329 0.303
S7 0.000 0.829 0.197
S8 0.500 0.676 0.409
S9 0.500 0.324 0.591
S10 0.500 0.176 0.091
Sm1 0.500 0.039 0.328
Sm2 0.500 0.961 0.672
Sm3 0.500 0.461 0.828
Sm4 0.500 0.539 0.172
Sn1 0.000 0.000 0.000
Sn2 0.000 0.500 0.500

- symmetry = Pbam, No. 55
- formation energy from raw total energies (eV per atom) = -1.51

# 2
First-principles (GGA-PBEsol) data for a relaxed structure of SbTeSe2Br, as listed in Alexandria via LeMat-Bulk.

a = 5.213 Å, b = 5.337 Å, c = 5.337 Å
α = 90.00°, β = 90.00°, γ = 90.00°
Atoms (fractional coordinates):
Se1 0.000 0.000 0.500
Se2 0.000 0.500 0.000
Sb1 0.000 0.000 0.000
Br1 0.500 0.000 0.000
Te1 0.500 0.500 0.500

- symmetry = P4/mmm, No. 123
- formation energy from raw total energies (eV per atom) = 0.39

# 3
First-principles (GGA-PBEsol) data for a relaxed structure of MgTlPb2, as listed in Alexandria via LeMat-Bulk.

a = 3.575 Å, b = 5.548 Å, c = 6.452 Å
α = 115.46°, β = 106.08°, γ = 90.00°
Atoms (fractional coordinates):
Mg1 0.000 0.500 0.000
Pb1 0.265 0.265 0.530
Pb2 0.735 0.735 0.470
Tl1 0.500 0.000 0.000

- symmetry = Immm, No. 71
- energy of formation (eV/f.u.) = -0.02

# 4
First-principles (GGA-PBEsol) data for a relaxed structure of Cs2AlP3O10, as listed in Alexandria via LeMat-Bulk.

a = 8.956 Å, b = 9.459 Å, c = 12.330 Å
α = 94.95°, β = 90.00°, γ = 90.00°
Atoms (fractional coordinates):
O1 0.813 0.801 0.935
O2 0.187 0.199 0.065
O3 0.490 0.218 0.053
O4 0.364 0.316 0.233
O5 0.654 0.552 0.579
O6 0.154 0.467 0.058
O7 0.864 0.184 0.767
O8 0.721 0.430 0.750
O9 0.517 0.075 0.228
O10 0.041 0.679 0.851
O11 0.636 0.684 0.767
O12 0.346 0.967 0.058
O13 0.346 0.448 0.421
O14 0.831 0.394 0.325
O15 0.112 0.378 0.320
O16 0.010 0.718 0.053
O17 0.990 0.282 0.947
O18 0.459 0.179 0.851
O19 0.388 0.878 0.320
O20 0.669 0.894 0.325
O21 0.541 0.821 0.149
O22 0.136 0.816 0.233
O23 0.154 0.948 0.421
O24 0.612 0.122 0.680
O25 0.221 0.070 0.250
O26 0.279 0.570 0.250
O27 0.779 0.930 0.750
O28 0.846 0.052 0.579
O29 0.510 0.782 0.947
O30 0.846 0.533 0.942
O31 0.169 0.606 0.675
O32 0.888 0.622 0.680
O33 0.983 0.575 0.228
O34 0.017 0.425 0.772
O35 0.959 0.321 0.149
O36 0.654 0.033 0.942
O37 0.483 0.925 0.772
O38 0.313 0.699 0.065
O39 0.687 0.301 0.935
O40 0.331 0.106 0.675
Cs1 0.391 0.736 0.540
Cs2 0.618 0.501 0.144
Cs3 0.118 0.999 0.856
Cs4 0.109 0.236 0.540
Cs5 0.382 0.499 0.856
Cs6 0.891 0.764 0.460
Cs7 0.882 0.001 0.144
Cs8 0.609 0.264 0.460
P1 0.581 0.179 0.951
P2 0.213 0.932 0.307
P3 0.787 0.068 0.693
P4 0.081 0.321 0.049
P5 0.713 0.568 0.693
P6 0.535 0.925 0.260
P7 0.419 0.821 0.049
P8 0.035 0.575 0.740
P9 0.919 0.679 0.951
P10 0.965 0.425 0.260
P11 0.465 0.075 0.740
P12 0.287 0.432 0.307
Al1 0.850 0.356 0.851
Al2 0.650 0.856 0.851
Al3 0.350 0.144 0.149
Al4 0.150 0.644 0.149

- symmetry = P2_1/c, No. 14
- formation energy from raw total energies (eV per atom) = -2.45

# 5
First-principles (GGA-PBEsol) data for a relaxed structure of NbFeSnO2, as listed in Alexandria via LeMat-Bulk.

a = 3.766 Å, b = 3.766 Å, c = 5.242 Å
α = 90.00°, β = 90.00°, γ = 90.00°
Last column: magnetic moment on the atom in μB.
Atoms (fractional coordinates):
Fe1 0.000 0.000 0.000  2.50
O1 0.500 0.000 0.000  0.17
O2 0.000 0.500 0.000  0.17
Sn1 0.000 0.000 0.500  -0.06
Nb1 0.500 0.500 0.500  0.86

- symmetry = P4/mmm, No. 123
- formation energy from raw total energies (eV per atom) = 0.00

# 6
First-principles (GGA-PBEsol) data for a relaxed structure of ZrZnP3, as listed in Alexandria via LeMat-Bulk.

a = 4.938 Å, b = 4.938 Å, c = 4.938 Å
α = 90.00°, β = 90.00°, γ = 90.00°
Atoms (fractional coordinates):
P1 0.500 0.000 0.000
P2 0.000 0.500 0.000
P3 0.000 0.000 0.500
Zn1 0.500 0.500 0.500
Zr1 0.000 0.000 0.000

- symmetry = Pm-3m, No. 221
- energy of formation (eV/f.u.) = 2.80